1.
First-principles (PBE) data for a relaxed structure of Pm2PuIn, as listed in the Alexandria database.

a b c (Å): 4.659 4.999 4.999
angles (deg): 90.00 90.00 90.00
Fractional positions:
Pm  0.000  0.000  0.500
Pm  0.000  0.500  0.000
In  0.500  0.500  0.500
Pu  0.500  0.000  0.000

- space-group type = P4/mmm, No. 123
- total magnetization (μB/f.u.) = 6.41
- offset from the most stable computed form (eV/atom) = 0.000
- DOS(E_F) (states/eV/cell) = 11.5
- DFT formation energy (eV/f.u.) = -0.6



2.
First-principles (PBE) data for a relaxed structure of PtPbAu, as listed in the Alexandria database.

a b c (Å): 5.173 3.674 9.208
angles (deg): 90.00 90.00 135.33
Fractional positions:
Pt  0.750  0.499  0.915
Pt  0.250  0.501  0.085
Au  0.750  0.500  0.571
Au  0.250  0.500  0.429
Pb  0.750  0.501  0.229
Pb  0.250  0.499  0.771

- space-group type = Pmmn, No. 59
- total magnetization (μB/f.u.) = 0.00
- offset from the most stable computed form (eV/atom) = 0.053
- DOS(E_F) (states/eV/cell) = 2.1
- DFT formation energy (eV/f.u.) = 0.0



3.
First-principles (PBE) data for a relaxed structure of PaPH2, as listed in the Alexandria database.

a b c (Å): 4.067 4.067 3.961
angles (deg): 59.11 59.11 60.00
Fractional positions:
P  0.500  0.500  0.500
Pa  0.000  0.000  0.000
H  0.234  0.234  0.299
H  0.766  0.766  0.701

- space-group type = R-3m, No. 166
- total magnetization (μB/f.u.) = 0.00
- offset from the most stable computed form (eV/atom) = 0.030
- DOS(E_F) (states/eV/cell) = 2.0



4.
First-principles (PBE) data for a relaxed structure of PaBrO, as listed in the Alexandria database.

a b c (Å): 3.929 3.929 11.187
angles (deg): 87.56 87.56 60.00
Fractional positions:
Pa  0.157  0.157  0.624
Pa  0.843  0.843  0.376
Br  0.525  0.525  0.189
Br  0.475  0.475  0.811
O  0.174  0.174  0.410
O  0.826  0.826  0.590

- energy relative to the elements, uncorrected (meV/atom) = -2407
- space-group type = C2/m, No. 12
- total magnetization (μB/f.u.) = 1.00
- DOS(E_F) (states/eV/cell) = 5.9



5.
First-principles (PBE) data for a relaxed structure of Pr4TlH, as listed in the Alexandria database.

a b c (Å): 7.283 6.340 9.097
angles (deg): 106.71 110.31 98.77
Fractional positions:
Pr  0.918  0.308  0.077
Pr  0.659  0.770  0.077
Pr  0.301  0.677  0.619
Pr  0.699  0.323  0.381
Pr  0.182  0.057  0.381
Pr  0.341  0.230  0.923
Pr  0.818  0.943  0.619
Pr  0.082  0.692  0.923
Tl  0.392  0.642  0.284
Tl  0.608  0.358  0.716
H  0.124  0.874  0.748
H  0.876  0.126  0.252

- space-group type = C2/c, No. 15
- total magnetization (μB/f.u.) = 0.00
- DOS(E_F) (states/eV/cell) = 15.0



6.
First-principles (PBE) data for a relaxed structure of MgTeAs2, as listed in the Alexandria database.

a b c (Å): 4.999 4.999 4.999
angles (deg): 60.00 60.00 60.00
Fractional positions:
As  0.000  0.000  0.000
As  0.750  0.750  0.750
Mg  0.500  0.500  0.500
Te  0.250  0.250  0.250

- energy relative to the elements, uncorrected (meV/atom) = 169
- space-group type = F-43m, No. 216
- total magnetization (μB/f.u.) = 0.00
- offset from the most stable computed form (eV/atom) = 0.417
- DOS(E_F) (states/eV/cell) = 2.4



7.
First-principles (PBE) data for a relaxed structure of Ti4V4Mo3, as listed in the Alexandria database.

a b c (Å): 2.781 4.347 14.098
angles (deg): 98.89 92.05 90.05
Fractional positions:
Ti  0.728  0.090  0.179
Ti  0.221  0.275  0.550
Ti  0.779  0.725  0.450
Ti  0.272  0.910  0.821
V  0.312  0.544  0.087
V  0.688  0.456  0.913
V  0.640  0.822  0.643
V  0.359  0.178  0.357
Mo  0.067  0.635  0.270
Mo  0.933  0.365  0.730
Mo  0.000  0.000  0.000

- space-group type = C2/m, No. 12
- total magnetization (μB/f.u.) = 0.01
- DOS(E_F) (states/eV/cell) = 15.8
- DFT formation energy (eV/f.u.) = -0.4



8.
First-principles (PBE) data for a relaxed structure of PrInSn, as listed in the Alexandria database.

a b c (Å): 4.516 4.733 4.733
angles (deg): 120.00 90.00 90.00
Fractional positions:
Pr  0.675  0.667  0.333
Sn  0.271  0.333  0.667
In  0.054  0.000  0.000

- space-group type = P3m1, No. 156
- total magnetization (μB/f.u.) = 0.00
- offset from the most stable computed form (eV/atom) = 0.000
- DOS(E_F) (states/eV/cell) = 0.5
- DFT formation energy (eV/f.u.) = -1.6



E for the records above, in order: -6.794; -4.334; -5.865; -7.783; -4.337; -3.340; -9.180; -4.360 eV per atom